Entry 1:
# TaNi2Pd | the Alexandria database | PBE | optimized geometry
data_TaNi2Pd
_cell_length_a 6.7410
_cell_length_b 6.7410
_cell_length_c 5.2284
_cell_angle_alpha 90.00
_cell_angle_beta 90.00
_cell_angle_gamma 90.00
_space_group_name_H-M_alt 'I -4 2 d'
_space_group_IT_number 122
_space_group_name_Hall 'I -4 2bw'
loop_
_atom_site_label
_atom_site_fract_x
_atom_site_fract_y
_atom_site_fract_z
Ta1 0.0000 0.0000 0.0000
Ni1 0.2400 0.2500 0.1250
Pd1 0.0000 0.0000 0.5000
# formation energy from the elements = 0.181 eV per atom
# final energy = -111.5 eV for the cell shown
# energy above the lowest structure with this stoichiometry = 438 meV per atom

---

Entry 2:
# Rb2Tl12Te7 | the Alexandria database | PBE | optimized geometry
data_Rb2Tl12Te7
_cell_length_a 13.0886
_cell_length_b 13.0886
_cell_length_c 5.4536
_cell_angle_alpha 90.00
_cell_angle_beta 90.00
_cell_angle_gamma 120.00
_space_group_name_H-M_alt 'P -3'
_space_group_IT_number 147
loop_
_space_group_symop_operation_xyz
'x,y,z'
'-x,-y,-z'
'-y,x-y,z'
'y,-x+y,-z'
'-x+y,-x,z'
'x-y,x,-z'
loop_
_atom_site_label
_atom_site_fract_x
_atom_site_fract_y
_atom_site_fract_z
Rb1 0.3333 0.6667 0.1616
Tl1 0.0535 0.6152 0.7921
Tl2 0.0829 0.8360 0.2080
Te1 0.0000 0.0000 0.5000
Te2 0.1381 0.4248 0.6040
# final energy = -60.6 eV for the cell shown

---

Entry 3:
# LiErSn2 | the Alexandria database | PBE | optimized geometry
data_LiErSn2
_cell_length_a 4.2922
_cell_length_b 19.3137
_cell_length_c 4.4815
_cell_angle_alpha 90.00
_cell_angle_beta 90.00
_cell_angle_gamma 90.00
_space_group_name_H-M_alt 'C m c m'
_space_group_IT_number 63
_space_group_name_Hall '-C 2c 2'
loop_
_atom_site_label
_atom_site_fract_x
_atom_site_fract_y
_atom_site_fract_z
Li1 0.0000 0.1717 0.2500
Er1 0.0000 0.3957 0.2500
Sn1 0.0000 0.0446 0.2500
Sn2 0.0000 0.2474 0.7500
# formation energy from the elements = -0.396 eV per atom
# final energy = -64.3 eV for the cell shown
# energy above the lowest structure with this stoichiometry = 142 meV per atom

---

Entry 4:
# ZnAsF2 | the Alexandria database | PBE | optimized geometry
data_ZnAsF2
_cell_length_a 5.7930
_cell_length_b 5.7930
_cell_length_c 7.6757
_cell_angle_alpha 90.00
_cell_angle_beta 90.00
_cell_angle_gamma 90.00
_space_group_name_H-M_alt 'I -4 2 d'
_space_group_IT_number 122
_space_group_name_Hall 'I -4 2bw'
loop_
_atom_site_label
_atom_site_fract_x
_atom_site_fract_y
_atom_site_fract_z
Zn1 0.0000 0.0000 0.0000
As1 0.0000 0.0000 0.5000
F1 0.1301 0.2500 0.1250
# final energy = -54.3 eV for the cell shown
# energy above the lowest structure with this stoichiometry = 152 meV per atom

---

Entry 5:
# CsTeI2Cl | the Alexandria database | PBE | optimized geometry
data_CsTeI2Cl
_cell_length_a 7.3683
_cell_length_b 7.3683
_cell_length_c 8.0668
_cell_angle_alpha 90.00
_cell_angle_beta 90.00
_cell_angle_gamma 90.00
_space_group_name_H-M_alt 'P 4/m m m'
_space_group_IT_number 123
_space_group_name_Hall '-P 4 2'
loop_
_atom_site_label
_atom_site_fract_x
_atom_site_fract_y
_atom_site_fract_z
Cs1 0.0000 0.0000 0.0000
Te1 0.0000 0.0000 0.5000
I1 0.0000 0.5000 0.0000
Cl1 0.5000 0.5000 0.5000
# final energy = -7.4 eV for the cell shown
# energy above the lowest structure with this stoichiometry = 1067 meV per atom

---

Entry 6:
# BPtW | the Alexandria database | PBE | optimized geometry
data_BPtW
_cell_length_a 3.5064
_cell_length_b 13.5546
_cell_length_c 3.1147
_cell_angle_alpha 90.00
_cell_angle_beta 90.00
_cell_angle_gamma 90.00
_space_group_name_H-M_alt 'C m c m'
_space_group_IT_number 63
_space_group_name_Hall '-C 2c 2'
loop_
_atom_site_label
_atom_site_fract_x
_atom_site_fract_y
_atom_site_fract_z
B1 0.0000 0.0320 0.2500
Pt1 0.0000 0.1957 0.2500
W1 0.0000 0.4157 0.2500
# formation energy from the elements = -0.311 eV per atom
# final energy = -106.4 eV for the cell shown
# energy above the lowest structure with this stoichiometry = 0 meV per atom